1.
Material: HgIrSe2
Method: DFT, PBE
State: optimized geometry

a b c (Å): 2.982 4.508 12.728
angles (deg): 90.00 90.00 90.00
Space group Imm2 (No. 44)
One atom of each set of equivalent atoms:
Hg: 0.000 0.000 0.000 [2 per cell]
Ir: 0.000 0.500 0.706 [2 per cell]
Se: 0.000 0.000 0.362 [2 per cell]
Se: 0.000 0.500 0.171 [2 per cell]

Output
The energy relative to the elements, uncorrected is 241 meV per atom.

2.
Material: ZnIn2Ga3
Method: DFT, PBE
State: optimized geometry

a b c (Å): 10.101 4.114 7.577
angles (deg): 90.00 125.77 90.00
Space group Cm (No. 8)
One atom of each set of equivalent atoms:
Zn: 0.000 0.000 0.000 [2 per cell]
In: 0.279 0.000 0.989 [2 per cell]
In: 0.433 0.000 0.651 [2 per cell]
Ga: 0.015 0.000 0.372 [2 per cell]
Ga: 0.193 0.500 0.246 [2 per cell]
Ga: 0.207 0.500 0.628 [2 per cell]

Output
The calculated formation energy is 0.029 eV/atom.

3.
Material: Ta2AuSe
Method: DFT, PBE
State: optimized geometry

a b c (Å): 3.380 4.466 4.826
angles (deg): 90.00 90.00 90.00
Space group Pmmm (No. 47)
One atom of each set of equivalent atoms:
Ta: 0.000 0.000 0.000 [1 per cell]
Ta: 0.500 0.000 0.500 [1 per cell]
Au: 0.000 0.500 0.500 [1 per cell]
Se: 0.500 0.500 0.000 [1 per cell]

Output
The energy relative to the elements, uncorrected is 254 meV per atom.

4.
Material: Ce7SbN2
Method: DFT, PBE
State: optimized geometry

a b c (Å): 7.172 14.678 4.727
angles (deg): 90.00 90.00 90.00
Space group Cmmm (No. 65)
One atom of each set of equivalent atoms:
Ce: 0.000 0.000 0.000 [2 per cell]
Ce: 0.000 0.246 0.500 [4 per cell]
Ce: 0.239 0.367 0.000 [8 per cell]
Sb: 0.000 0.500 0.500 [2 per cell]
N: 0.000 0.252 0.000 [4 per cell]

Output
The energy relative to the elements, uncorrected is -537 meV per atom.

5.
Material: Tl2Ir2F
Method: DFT, PBE
State: optimized geometry

a b c (Å): 5.463 5.463 6.891
angles (deg): 90.00 90.00 90.00
Space group I4/mmm (No. 139)
One atom of each set of equivalent atoms:
Tl: 0.000 0.500 0.250 [4 per cell]
Ir: 0.000 0.000 0.170 [4 per cell]
F: 0.000 0.000 0.500 [2 per cell]

Output
For the excess energy over the best structure of this formula in the dataset, the calculation gives 0.0 meV per atom. The energy relative to the elements, uncorrected is 62 meV per atom.

6.
Material: CePrTm2Se4
Method: DFT, PBE
State: optimized geometry

a b c (Å): 7.045 4.054 7.341
angles (deg): 90.00 108.53 90.00
Space group P2/m (No. 10)
One atom of each set of equivalent atoms:
Ce: 0.000 0.000 0.000 [1 per cell]
Pr: 0.500 0.500 0.000 [1 per cell]
Tm: 0.000 0.500 0.500 [1 per cell]
Tm: 0.500 0.000 0.500 [1 per cell]
Se: 0.241 0.000 0.729 [2 per cell]
Se: 0.255 0.500 0.270 [2 per cell]

Output
The energy relative to the elements, uncorrected is -1762 meV per atom.

VASP energy per entry: -15.2, -15.7, -29.5, -67.7, -24.0, -47.7 eV per formula unit